# 1
Compound: NdHo2RhN4
Source: the Alexandria database
Functional: PBE-GGA
Structure: relaxed

Geometry as extended XYZ:
```
16
Lattice="1.7108 -5.8623 0.0000 1.7108 5.8623 0.0000 0.0000 0.0000 11.5109" Properties=species:S:1:pos:R:3 pbc="T T T"
Nd 1.7108 4.5127 8.6332
Nd 1.7108 -4.5127 2.8777
Ho 1.7108 1.5235 6.2680
Ho 1.7108 1.5235 10.9983
Ho 1.7108 -1.5235 0.5126
Ho 1.7108 -1.5235 5.2429
Rh 1.7108 4.1505 2.8777
Rh 1.7108 -4.1505 8.6332
N 0.0000 0.0000 0.0000
N 0.0000 0.0000 5.7554
N 1.7108 2.6956 1.4500
N 1.7108 2.6956 4.3055
N 1.7108 0.5690 8.6332
N 1.7108 -0.5690 2.8777
N 1.7108 -2.6956 7.2054
N 1.7108 -2.6956 10.0609
```

Values from the calculation:
- Total energy: -7.804 eV per atom
- Space-group type: No. 63
- DOS at the Fermi energy: 4.9 states/eV/cell
- ρ: 9.11 Mg/m³

***

# 2
Compound: NdHo2RuN4
Source: the Alexandria database
Functional: PBE-GGA
Structure: relaxed

Geometry as extended XYZ:
```
16
Lattice="1.7166 -5.8251 0.0000 1.7166 5.8251 0.0000 0.0000 0.0000 11.5802" Properties=species:S:1:pos:R:3 pbc="T T T"
Nd 1.7166 4.4305 8.6851
Nd 1.7166 -4.4305 2.8950
Ho 1.7166 1.5263 6.2800
Ho 1.7166 1.5263 11.0903
Ho 1.7166 -1.5263 0.4899
Ho 1.7166 -1.5263 5.3002
Ru 1.7166 4.1552 2.8950
Ru 1.7166 -4.1552 8.6851
N 0.0000 0.0000 0.0000
N 0.0000 0.0000 5.7901
N 1.7166 2.7200 1.4650
N 1.7166 2.7200 4.3251
N 1.7166 0.6736 8.6851
N 1.7166 -0.6736 2.8950
N 1.7166 -2.7200 7.2551
N 1.7166 -2.7200 10.1151
```

Values from the calculation:
- Total energy: -8.095 eV per atom
- Space-group type: No. 63
- DOS at the Fermi energy: 5.6 states/eV/cell
- ρ: 9.05 Mg/m³

***

# 3
Compound: NdHoSN
Source: the Alexandria database
Functional: PBE-GGA
Structure: relaxed

Geometry as extended XYZ:
```
4
Lattice="1.8396 1.0621 6.4402 -1.8396 1.0621 6.4402 0.0000 -2.1242 6.4402" Properties=species:S:1:pos:R:3 pbc="T T T"
Nd 0.0000 0.0000 0.0000
Ho 0.0000 0.0000 9.1439
S 0.0000 0.0000 4.4871
N 0.0000 0.0000 14.3744
```

Values from the calculation:
- Total energy: -7.244 eV per atom
- Space-group type: No. 160
- DOS at the Fermi energy: 1.0 states/eV/cell
- ρ: 7.81 Mg/m³

***

# 4
Compound: Nd2Ho4Sb3N2
Source: the Alexandria database
Functional: PBE-GGA
Structure: relaxed

Geometry as extended XYZ:
```
11
Lattice="-2.3223 2.3223 12.7346 2.3223 -2.3223 12.7346 2.3223 2.3223 -12.7346" Properties=species:S:1:pos:R:3 pbc="T T T"
Nd 0.0000 0.0000 4.9295
Nd 0.0000 0.0000 20.5397
Ho 2.3223 0.0000 2.0973
Ho 2.3223 0.0000 10.6373
Ho 0.0000 2.3223 2.0973
Ho 0.0000 2.3223 10.6373
Sb 0.0000 0.0000 8.2585
Sb 0.0000 0.0000 12.7346
Sb 0.0000 0.0000 17.2106
N 0.0000 0.0000 2.4720
N 0.0000 0.0000 22.9971
```

Values from the calculation:
- Total energy: -6.381 eV per atom
- Space-group type: No. 139
- DOS at the Fermi energy: 5.7 states/eV/cell
- ρ: 8.11 Mg/m³